CdHgP: optimized geometry, PBE.

Cell and atoms, written as CIF:
```
data_CdHgP
_symmetry_space_group_name_H-M 'P -1'
_symmetry_Int_Tables_number 2
_symmetry_space_group_name_Hall '-P 1'
_cell_length_a 4.435
_cell_length_b 4.438
_cell_length_c 10.557
_cell_angle_alpha 99.81
_cell_angle_beta 92.41
_cell_angle_gamma 119.38
loop_
_atom_site_label
_atom_site_type_symbol
_atom_site_fract_x
_atom_site_fract_y
_atom_site_fract_z
Cd1 Cd 0.176 0.209 0.383
Hg1 Hg 0.380 0.497 0.880
P1 P 0.173 0.479 0.655
```

**E_tot**: -2.17 eV/atom
**DFT formation energy**: 0.041 eV per atom